Entry 1:
Computed, not measured: LiMgRh at its PBEsol-relaxed geometry at the SCAN level of DFT.

M_tot in μB/f.u.: 0.2
Offset from the most stable computed form in meV per atom: 27

Cell and atoms, written as CIF:
```
data_LiMgRh
_chemical_formula_sum 'Li1 Mg1 Rh1'
_cell_length_a 4.2457
_cell_length_b 4.2457
_cell_length_c 2.7758
_cell_angle_alpha 90.00
_cell_angle_beta 90.00
_cell_angle_gamma 120.00
_space_group_name_H-M_alt 'P 3 m 1'
_space_group_IT_number 156
loop_
_space_group_symop_operation_xyz
'x,y,z'
'-y,x-y,z'
'-x+y,-x,z'
'-y,-x,z'
'-x+y,y,z'
'x,x-y,z'
loop_
_atom_site_label
_atom_site_fract_x
_atom_site_fract_y
_atom_site_fract_z
_atom_site_occupancy
Li1 0.0000 0.0000 0.0000 1
Mg1 0.6667 0.3333 0.6503 1
Rh1 0.3333 0.6667 0.2271 1
```

Entry 2:
Computed, not measured: LiMg2Rh at its PBEsol-relaxed geometry at the SCAN level of DFT.

Total DFT energy (no corrections) in eV for the cell shown: -94.97
M_tot in μB/f.u.: 0.0

Cell and atoms, written as CIF:
```
data_LiMg2Rh
_chemical_formula_sum 'Li2 Mg4 Rh2'
_cell_length_a 9.681
_cell_length_b 3.117
_cell_length_c 4.499
_cell_angle_alpha 90.00
_cell_angle_beta 109.61
_cell_angle_gamma 90.00
_space_group_name_H-M_alt 'C 1 m 1'
_space_group_IT_number 8
loop_
_space_group_symop_operation_xyz
'x,y,z'
'x,-y,z'
'x+1/2,y+1/2,z'
'x+1/2,-y+1/2,z'
loop_
_atom_site_label
_atom_site_fract_x
_atom_site_fract_y
_atom_site_fract_z
_atom_site_occupancy
Li1 0.000 0.000 0.000 1
Mg1 0.042 0.500 0.551 1
Mg2 0.266 0.500 0.221 1
Rh1 0.278 0.000 0.725 1
```